The following is a GGA-PBE calculation of crystalline PmCd6Ag5 at its relaxed geometry, from the Alexandria database.

Computed properties:
E_tot in eV per formula unit: -25.71
ΔH_f (0 K) in eV per atom: -0.101
D(E_F) in states/eV/atom: 0.36

Cell: 13.264 8.415 4.762 Å, 90.00 107.82 90.00°
Space group C2/m (No. 12)
Inequivalent atoms, fractional coordinates:
Pm: 0.000 0.000 0.000 [2 per cell]
Cd: 0.000 0.285 0.500 [4 per cell]
Cd: 0.172 0.282 0.183 [8 per cell]
Ag: 0.000 0.500 0.000 [2 per cell]
Ag: 0.154 0.000 0.632 [4 per cell]
Ag: 0.196 0.500 0.722 [4 per cell]

The following is a GGA-PBE calculation of crystalline LiLa2TlO at its relaxed geometry, from the Alexandria database.

Computed properties:
E_tot in eV per formula unit: -25.82
Raw formation energy in eV/f.u.: -6.723
D(E_F) in states/eV/atom: 0.63

Cell: 5.054 5.054 4.554 Å, 90.00 90.00 90.00°
Space group P4/mmm (No. 123)
Inequivalent atoms, fractional coordinates:
Li: 0.000 0.000 0.000 [1 per cell]
La: 0.000 0.500 0.500 [2 per cell]
Tl: 0.500 0.500 0.000 [1 per cell]
O: 0.000 0.000 0.500 [1 per cell]

The following is a GGA-PBE calculation of crystalline Tc2AsPb at its relaxed geometry, from the Alexandria database.

Computed properties:
E_tot in eV per formula unit: -27.98
ΔH_f (0 K) in eV per atom: 0.277
ΔE to the lowest computed polymorph in meV/atom: 139
D(E_F) in states/eV/atom: 0.97

Cell: 3.042 3.598 13.617 Å, 90.00 90.00 90.00°
Space group Imm2 (No. 44)
Inequivalent atoms, fractional coordinates:
Tc: 0.000 0.000 0.000 [2 per cell]
Tc: 0.000 0.500 0.316 [2 per cell]
As: 0.000 0.500 0.878 [2 per cell]
Pb: 0.000 0.000 0.631 [2 per cell]

The following is a GGA-PBE calculation of crystalline CeSiO2 at its relaxed geometry, from the Alexandria database.

Computed properties:
E_tot in eV per formula unit: -27.39
Raw formation energy in eV/f.u.: -6.119
D(E_F) in states/eV/atom: 0.77

Cell: 2.8469 2.8469 22.6504 Å, 90.00 90.00 120.00°
Space group R-3m (No. 166, hexagonal axes)
Inequivalent atoms, fractional coordinates:
Ce: 0.0000 0.0000 0.0000 [3 per cell]
Si: 0.0000 0.0000 0.5000 [3 per cell]
O: 0.0000 0.0000 0.1271 [6 per cell]

The following is a GGA-PBE calculation of crystalline NaZn3Ge at its relaxed geometry, from the Alexandria database.

Computed properties:
E_tot in eV per formula unit: -5.11
ΔH_f (0 K) in eV per atom: 0.930
ΔE to the lowest computed polymorph in meV/atom: 942
D(E_F) in states/eV/atom: 0.59

Cell: 5.001 5.001 5.001 Å, 90.00 90.00 90.00°
Space group Pm-3m (No. 221)
Inequivalent atoms, fractional coordinates:
Na: 0.000 0.000 0.000 [1 per cell]
Zn: 0.000 0.000 0.500 [3 per cell]
Ge: 0.500 0.500 0.500 [1 per cell]

The following is a GGA-PBE calculation of crystalline CaGdCl2 at its relaxed geometry, from the Alexandria database.

Computed properties:
E_tot in eV per formula unit: -25.47
Raw formation energy in eV/f.u.: -5.690
D(E_F) in states/eV/atom: 1.70

Cell: 3.9078 3.9078 27.0553 Å, 90.00 90.00 120.00°
Space group R-3m (No. 166, hexagonal axes)
Inequivalent atoms, fractional coordinates:
Ca: 0.0000 0.0000 0.0000 [3 per cell]
Gd: 0.0000 0.0000 0.5000 [3 per cell]
Cl: 0.0000 0.0000 0.3907 [6 per cell]

The following is a GGA-PBE calculation of crystalline HgW3N at its relaxed geometry, from the Alexandria database.

Computed properties:
E_tot in eV per formula unit: -45.61
ΔE to the lowest computed polymorph in meV/atom: 0
Raw formation energy in eV/f.u.: 1.879
D(E_F) in states/eV/atom: 0.69

Cell: 4.191 4.191 4.191 Å, 90.00 90.00 90.00°
Space group Pm-3m (No. 221)
Inequivalent atoms, fractional coordinates:
Hg: 0.000 0.000 0.000 [1 per cell]
W: 0.000 0.500 0.500 [3 per cell]
N: 0.500 0.500 0.500 [1 per cell]

The following is a GGA-PBE calculation of crystalline KScPa2O8 at its relaxed geometry, from the Alexandria database.

Computed properties:
E_tot in eV per formula unit: -99.96
Raw formation energy in eV/f.u.: -33.874
D(E_F) in states/eV/atom: 0.68

Cell: 5.128 7.229 5.134 Å, 90.00 93.23 90.00°
Space group P2/m (No. 10)
Inequivalent atoms, fractional coordinates:
K: 0.000 0.000 0.000 [1 per cell]
Sc: 0.000 0.500 0.000 [1 per cell]
Pa: 0.500 0.249 0.500 [2 per cell]
O: 0.209 0.292 0.213 [4 per cell]
O: 0.303 0.500 0.700 [2 per cell]
O: 0.335 0.000 0.668 [2 per cell]

The following is a GGA-PBE calculation of crystalline PmSc7Tl4 at its relaxed geometry, from the Alexandria database.

Computed properties:
E_tot in eV per formula unit: -58.29
ΔH_f (0 K) in eV per atom: 0.021
D(E_F) in states/eV/atom: 1.17

Cell: 13.091 5.354 10.621 Å, 90.00 123.82 90.00°
Space group C2/m (No. 12)
Inequivalent atoms, fractional coordinates:
Pm: 0.000 0.000 0.000 [2 per cell]
Sc: 0.000 0.500 0.000 [2 per cell]
Sc: 0.055 0.000 0.380 [4 per cell]
Sc: 0.165 0.500 0.590 [4 per cell]
Sc: 0.218 0.000 0.880 [4 per cell]
Tl: 0.081 0.500 0.788 [4 per cell]
Tl: 0.197 0.500 0.326 [4 per cell]

The following is a GGA-PBE calculation of crystalline HoAg8 at its relaxed geometry, from the Alexandria database.

Computed properties:
E_tot in eV per formula unit: -27.82
ΔH_f (0 K) in eV per atom: -0.048
D(E_F) in states/eV/atom: 0.38

Cell: 8.929 8.929 4.310 Å, 90.00 90.00 90.00°
Space group I4/mmm (No. 139)
Inequivalent atoms, fractional coordinates:
Ho: 0.000 0.000 0.000 [2 per cell]
Ag: 0.000 0.337 0.000 [8 per cell]
Ag: 0.170 0.170 0.500 [8 per cell]

The following is a GGA-PBE calculation of crystalline NiOsRu2 at its relaxed geometry, from the Alexandria database.

Computed properties:
E_tot in eV per formula unit: -35.01
ΔH_f (0 K) in eV per atom: 0.138
ΔE to the lowest computed polymorph in meV/atom: 55
D(E_F) in states/eV/atom: 1.16

Cell: 2.684 3.781 5.277 Å, 90.00 90.00 90.00°
Space group Pmm2 (No. 25)
Inequivalent atoms, fractional coordinates:
Ni: 0.000 0.000 0.000 [1 per cell]
Os: 0.500 0.500 0.242 [1 per cell]
Ru: 0.000 0.000 0.497 [1 per cell]
Ru: 0.500 0.500 0.758 [1 per cell]

The following is a GGA-PBE calculation of crystalline Ho5Tm2In4 at its relaxed geometry, from the Alexandria database.

Computed properties:
E_tot in eV per formula unit: -39.34
ΔH_f (0 K) in eV per atom: 0.314
ΔE to the lowest computed polymorph in meV/atom: 547
D(E_F) in states/eV/atom: 1.20

Cell: 3.424 8.499 28.520 Å, 90.00 90.00 90.00°
Space group Immm (No. 71)
Inequivalent atoms, fractional coordinates:
Ho: 0.000 0.000 0.000 [2 per cell]
Ho: 0.000 0.304 0.298 [8 per cell]
Tm: 0.000 0.500 0.404 [4 per cell]
In: 0.000 0.179 0.500 [4 per cell]
In: 0.000 0.500 0.197 [4 per cell]

One value per record, in order, for magnetic moment: 0.00 0.00 0.00 0.16 0.00 7.72 0.00 1.44 0.59 0.00 0.00 0.00 μB/f.u..